Entry one
Nb2GaHIr: optimized geometry, PBE.

Structure (CIF):
```
data_Nb2GaHIr
_chemical_formula_sum 'Nb2 Ga1 H1 Ir1'
_space_group_name_H-M_alt 'P 4/m m m'
_space_group_IT_number 123
_space_group_name_Hall '-P 4 2'
_cell_length_a 4.1360
_cell_length_b 4.1360
_cell_length_c 3.9865
_cell_angle_alpha 90.00
_cell_angle_beta 90.00
_cell_angle_gamma 90.00
loop_
_atom_site_label
_atom_site_type_symbol
_atom_site_fract_x
_atom_site_fract_y
_atom_site_fract_z
Nb1 Nb 0.0000 0.5000 0.0000
Ga1 Ga 0.0000 0.0000 0.5000
H1 H 0.5000 0.5000 0.0000
Ir1 Ir 0.5000 0.5000 0.5000
```


Entry two
Nb2GaHIr: optimized geometry, PBE.

Structure (CIF):
```
data_Nb2GaHIr
_chemical_formula_sum 'Nb2 Ga1 H1 Ir1'
_space_group_name_H-M_alt 'P 4/m m m'
_space_group_IT_number 123
_space_group_name_Hall '-P 4 2'
_cell_length_a 3.9704
_cell_length_b 3.9704
_cell_length_c 4.3158
_cell_angle_alpha 90.00
_cell_angle_beta 90.00
_cell_angle_gamma 90.00
loop_
_atom_site_label
_atom_site_type_symbol
_atom_site_fract_x
_atom_site_fract_y
_atom_site_fract_z
Nb1 Nb 0.0000 0.5000 0.0000
Ga1 Ga 0.0000 0.0000 0.5000
H1 H 0.0000 0.0000 0.0000
Ir1 Ir 0.5000 0.5000 0.5000
```


Verdict on stability: entry one comes out on top.


Entry one
Ti2GaHIr: optimized geometry, PBE.

Structure (CIF):
```
data_Ti2GaHIr
_chemical_formula_sum 'Ti2 Ga1 H1 Ir1'
_space_group_name_H-M_alt 'P 4/m m m'
_space_group_IT_number 123
_space_group_name_Hall '-P 4 2'
_cell_length_a 3.8839
_cell_length_b 3.8839
_cell_length_c 4.1608
_cell_angle_alpha 90.00
_cell_angle_beta 90.00
_cell_angle_gamma 90.00
loop_
_atom_site_label
_atom_site_type_symbol
_atom_site_fract_x
_atom_site_fract_y
_atom_site_fract_z
Ti1 Ti 0.0000 0.5000 0.0000
Ga1 Ga 0.0000 0.0000 0.5000
H1 H 0.0000 0.0000 0.0000
Ir1 Ir 0.5000 0.5000 0.5000
```


Entry two
Ti2GaHIr: optimized geometry, PBE.

Structure (CIF):
```
data_Ti2GaHIr
_chemical_formula_sum 'Ti2 Ga1 H1 Ir1'
_space_group_name_H-M_alt 'P 4/m m m'
_space_group_IT_number 123
_space_group_name_Hall '-P 4 2'
_cell_length_a 4.0354
_cell_length_b 4.0354
_cell_length_c 3.8931
_cell_angle_alpha 90.00
_cell_angle_beta 90.00
_cell_angle_gamma 90.00
loop_
_atom_site_label
_atom_site_type_symbol
_atom_site_fract_x
_atom_site_fract_y
_atom_site_fract_z
Ti1 Ti 0.0000 0.5000 0.0000
Ga1 Ga 0.0000 0.0000 0.5000
H1 H 0.5000 0.5000 0.0000
Ir1 Ir 0.5000 0.5000 0.5000
```


Verdict on stability: entry two comes out on top.